# 1
The following is a PBE-GGA calculation of a relaxed KZn2P crystal, from the Alexandria database.

Formation energy (eV/atom): 0.312
D(E_F) (states/eV/f.u.): 1.3

```
data_KZn2P
_cell_length_a 6.116
_cell_length_b 11.190
_cell_length_c 2.682
_cell_angle_alpha 90.00
_cell_angle_beta 115.21
_cell_angle_gamma 90.00
_space_group_name_H-M_alt 'C 1 2/m 1'
_space_group_IT_number 12
loop_
_space_group_symop_operation_xyz
'x,y,z'
'-x,-y,-z'
'-x,y,-z'
'x,-y,z'
'x+1/2,y+1/2,z'
'-x+1/2,-y+1/2,-z'
'-x+1/2,y+1/2,-z'
'x+1/2,-y+1/2,z'
loop_
_atom_site_label
_atom_site_fract_x
_atom_site_fract_y
_atom_site_fract_z
_atom_site_occupancy
K1 0.000 0.000 0.000 1
Zn1 0.250 0.250 0.000 1
P1 0.000 0.500 0.000 1
```

---

# 2
The following is a PBE-GGA calculation of a relaxed NaAuSeBr2 crystal, from the Alexandria database.

Energy above the lowest structure with this stoichiometry (eV/atom): 0.000
Raw formation energy (eV/atom): -0.29
D(E_F) (states/eV/f.u.): 5.1

```
data_NaAuSeBr2
_cell_length_a 5.441
_cell_length_b 5.441
_cell_length_c 5.122
_cell_angle_alpha 90.00
_cell_angle_beta 90.00
_cell_angle_gamma 90.00
_space_group_name_H-M_alt 'P 4/m m m'
_space_group_IT_number 123
_space_group_name_Hall '-P 4 2'
loop_
_atom_site_label
_atom_site_fract_x
_atom_site_fract_y
_atom_site_fract_z
_atom_site_occupancy
Na1 0.000 0.000 0.000 1
Au1 0.500 0.500 0.500 1
Se1 0.500 0.500 0.000 1
Br1 0.000 0.500 0.500 1
```

---

# 3
The following is a PBE-GGA calculation of a relaxed NaTl6Au6 crystal, from the Alexandria database.

Formation energy (eV/atom): -0.046
D(E_F) (states/eV/f.u.): 3.5

```
data_NaTl6Au6
_cell_length_a 5.804
_cell_length_b 10.025
_cell_length_c 10.831
_cell_angle_alpha 90.00
_cell_angle_beta 90.00
_cell_angle_gamma 90.00
_space_group_name_H-M_alt 'I m m m'
_space_group_IT_number 71
_space_group_name_Hall '-I 2 2'
loop_
_atom_site_label
_atom_site_fract_x
_atom_site_fract_y
_atom_site_fract_z
_atom_site_occupancy
Na1 0.000 0.000 0.000 1
Tl1 0.000 0.000 0.352 1
Tl2 0.000 0.326 0.500 1
Tl3 0.000 0.338 0.000 1
Au1 0.000 0.500 0.267 1
Au2 0.250 0.250 0.250 1
```

---

# 4
The following is a PBE-GGA calculation of a relaxed Nb6Sn3C crystal, from the Alexandria database.

Formation energy (eV/atom): 0.006
D(E_F) (states/eV/f.u.): 8.5

```
data_Nb6Sn3C
_cell_length_a 10.010
_cell_length_b 5.865
_cell_length_c 7.321
_cell_angle_alpha 90.00
_cell_angle_beta 112.76
_cell_angle_gamma 90.00
_space_group_name_H-M_alt 'C 1 2/m 1'
_space_group_IT_number 12
loop_
_space_group_symop_operation_xyz
'x,y,z'
'-x,-y,-z'
'-x,y,-z'
'x,-y,z'
'x+1/2,y+1/2,z'
'-x+1/2,-y+1/2,-z'
'-x+1/2,y+1/2,-z'
'x+1/2,-y+1/2,z'
loop_
_atom_site_label
_atom_site_fract_x
_atom_site_fract_y
_atom_site_fract_z
_atom_site_occupancy
Nb1 0.103 0.246 0.379 1
Nb2 0.183 0.000 0.781 1
Sn1 0.000 0.500 0.000 1
Sn2 0.202 0.500 0.771 1
C1 0.000 0.000 0.500 1
```

---

# 5
The following is a PBE-GGA calculation of a relaxed Nd3Hg2Au3 crystal, from the Alexandria database.

Formation energy (eV/atom): -0.611
Energy above the lowest structure with this stoichiometry (eV/atom): 0.000
D(E_F) (states/eV/f.u.): 5.2

```
data_Nd3Hg2Au3
_cell_length_a 3.811
_cell_length_b 5.165
_cell_length_c 20.529
_cell_angle_alpha 90.00
_cell_angle_beta 90.00
_cell_angle_gamma 90.00
_space_group_name_H-M_alt 'I m m m'
_space_group_IT_number 71
_space_group_name_Hall '-I 2 2'
loop_
_atom_site_label
_atom_site_fract_x
_atom_site_fract_y
_atom_site_fract_z
_atom_site_occupancy
Nd1 0.000 0.000 0.000 1
Nd2 0.000 0.500 0.134 1
Hg1 0.000 0.000 0.236 1
Au1 0.000 0.000 0.500 1
Au2 0.000 0.500 0.383 1
```

---

# 6
The following is a PBE-GGA calculation of a relaxed Fe2PbCl crystal, from the Alexandria database.

Energy above the lowest structure with this stoichiometry (eV/atom): 0.183
Raw formation energy (eV/atom): 0.25
D(E_F) (states/eV/f.u.): 3.3

```
data_Fe2PbCl
_cell_length_a 9.649
_cell_length_b 3.136
_cell_length_c 7.430
_cell_angle_alpha 90.00
_cell_angle_beta 129.01
_cell_angle_gamma 90.00
_space_group_name_H-M_alt 'C 1 2/m 1'
_space_group_IT_number 12
loop_
_space_group_symop_operation_xyz
'x,y,z'
'-x,-y,-z'
'-x,y,-z'
'x,-y,z'
'x+1/2,y+1/2,z'
'-x+1/2,-y+1/2,-z'
'-x+1/2,y+1/2,-z'
'x+1/2,-y+1/2,z'
loop_
_atom_site_label
_atom_site_fract_x
_atom_site_fract_y
_atom_site_fract_z
_atom_site_occupancy
Fe1 0.196 0.000 0.345 1
Pb1 0.000 0.000 0.500 1
Cl1 0.000 0.500 0.000 1
```

---

# 7
The following is a PBE-GGA calculation of a relaxed AsSN2 crystal, from the Alexandria database.

Energy above the lowest structure with this stoichiometry (eV/atom): 1.268
Raw formation energy (eV/atom): 1.38
D(E_F) (states/eV/f.u.): 3.7

```
data_AsSN2
_cell_length_a 5.307
_cell_length_b 5.307
_cell_length_c 7.806
_cell_angle_alpha 90.00
_cell_angle_beta 90.00
_cell_angle_gamma 90.00
_space_group_name_H-M_alt 'I -4 2 d'
_space_group_IT_number 122
_space_group_name_Hall 'I -4 2bw'
loop_
_atom_site_label
_atom_site_fract_x
_atom_site_fract_y
_atom_site_fract_z
_atom_site_occupancy
As1 0.000 0.000 0.000 1
S1 0.000 0.000 0.500 1
N1 0.182 0.250 0.125 1
```

---

# 8
The following is a PBE-GGA calculation of a relaxed CsRbIn crystal, from the Alexandria database.

Formation energy (eV/atom): 0.025
Energy above the lowest structure with this stoichiometry (eV/atom): 0.041
D(E_F) (states/eV/f.u.): 2.2

```
data_CsRbIn
_cell_length_a 5.550
_cell_length_b 6.551
_cell_length_c 22.908
_cell_angle_alpha 90.00
_cell_angle_beta 90.00
_cell_angle_gamma 90.00
_space_group_name_H-M_alt 'I m m m'
_space_group_IT_number 71
_space_group_name_Hall '-I 2 2'
loop_
_atom_site_label
_atom_site_fract_x
_atom_site_fract_y
_atom_site_fract_z
_atom_site_occupancy
Cs1 0.000 0.000 0.174 1
Rb1 0.000 0.000 0.414 1
In1 0.249 0.500 0.500 1
```

---

# 9
The following is a PBE-GGA calculation of a relaxed Ir2PbAu crystal, from the Alexandria database.

Formation energy (eV/atom): 0.639
D(E_F) (states/eV/f.u.): 3.9

```
data_Ir2PbAu
_cell_length_a 3.0928
_cell_length_b 3.0928
_cell_length_c 26.1051
_cell_angle_alpha 90.00
_cell_angle_beta 90.00
_cell_angle_gamma 120.00
_space_group_name_H-M_alt 'R -3 m'
_space_group_IT_number 166
_space_group_name_Hall '-R 3 2"'
loop_
_atom_site_label
_atom_site_fract_x
_atom_site_fract_y
_atom_site_fract_z
_atom_site_occupancy
Ir1 0.0000 0.0000 0.2499 1
Pb1 0.0000 0.0000 0.0000 1
Au1 0.0000 0.0000 0.5000 1
```

---

# 10
The following is a PBE-GGA calculation of a relaxed Y2CoSn2 crystal, from the Alexandria database.

Formation energy (eV/atom): -0.524
D(E_F) (states/eV/f.u.): 3.8

```
data_Y2CoSn2
_cell_length_a 6.175
_cell_length_b 12.791
_cell_length_c 6.100
_cell_angle_alpha 90.00
_cell_angle_beta 90.00
_cell_angle_gamma 90.00
_space_group_name_H-M_alt 'I b a m'
_space_group_IT_number 72
_space_group_name_Hall '-I 2 2c'
loop_
_atom_site_label
_atom_site_fract_x
_atom_site_fract_y
_atom_site_fract_z
_atom_site_occupancy
Y1 0.211 0.159 0.000 1
Co1 0.000 0.000 0.250 1
Sn1 0.203 0.413 0.000 1
```

---

# 11
The following is a PBE-GGA calculation of a relaxed Be5P3 crystal, from the Alexandria database.

Formation energy (eV/atom): -0.022

```
data_Be5P3
_cell_length_a 6.411
_cell_length_b 10.245
_cell_length_c 6.898
_cell_angle_alpha 90.00
_cell_angle_beta 117.51
_cell_angle_gamma 90.00
_space_group_name_H-M_alt 'C 1 m 1'
_space_group_IT_number 8
loop_
_space_group_symop_operation_xyz
'x,y,z'
'x,-y,z'
'x+1/2,y+1/2,z'
'x+1/2,-y+1/2,z'
loop_
_atom_site_label
_atom_site_fract_x
_atom_site_fract_y
_atom_site_fract_z
_atom_site_occupancy
Be1 0.000 0.000 0.000 1
Be2 0.036 0.191 0.854 1
Be3 0.047 0.500 0.869 1
Be4 0.179 0.178 0.239 1
Be5 0.444 0.371 0.426 1
Be6 0.485 0.104 0.558 1
P1 0.141 0.000 0.758 1
P2 0.246 0.263 0.549 1
P3 0.293 0.338 0.056 1
P4 0.367 0.000 0.249 1
```

---

# 12
The following is a PBE-GGA calculation of a relaxed Cr3PSe crystal, from the Alexandria database.

Energy above the lowest structure with this stoichiometry (eV/atom): 0.551
Raw formation energy (eV/atom): 1.24
D(E_F) (states/eV/f.u.): 13.9

```
data_Cr3PSe
_cell_length_a 4.359
_cell_length_b 4.359
_cell_length_c 4.359
_cell_angle_alpha 90.00
_cell_angle_beta 90.00
_cell_angle_gamma 90.00
_space_group_name_H-M_alt 'P m -3 m'
_space_group_IT_number 221
_space_group_name_Hall '-P 4 2 3'
loop_
_atom_site_label
_atom_site_fract_x
_atom_site_fract_y
_atom_site_fract_z
_atom_site_occupancy
Cr1 0.000 0.000 0.500 1
P1 0.500 0.500 0.500 1
Se1 0.000 0.000 0.000 1
```